Compound: ZrTl2Bi
Source: Alexandria
Functional: GGA-PBE
Structure: optimized geometry

Cell and atoms, written as POSCAR:
```
ZrTl2Bi
1.0
0.000 3.807 3.807
3.807 0.000 3.807
3.807 3.807 0.000
Zr Tl Bi
1 2 1
direct
0.000 0.000 0.000 Zr
0.250 0.250 0.250 Tl
0.750 0.750 0.750 Tl
0.500 0.500 0.500 Bi
```

Energy relative to the elements, eV/atom: 0.3342
Crystal system: cubic
E, Ry/atom: -0.2908
DOS(E_F), states/eV per cell: 3.809
Energy above the lowest structure with this stoichiometry, eV per formula unit: 0.32



Compound: ZrTlBi
Source: Alexandria
Functional: GGA-PBE
Structure: optimized geometry

Cell and atoms, written as POSCAR:
```
ZrTlBi
1.0
5.344 0.000 0.000
-2.672 4.628 0.000
0.000 0.000 3.219
Zr Tl Bi
1 1 1
direct
0.000 0.000 0.000 Zr
0.667 0.333 0.288 Tl
0.333 0.667 0.601 Bi
```

Energy relative to the elements, eV/atom: 0.1711
Crystal system: trigonal
E, Ry/atom: -0.3499
DOS(E_F), states/eV per cell: 2.840
Energy above the lowest structure with this stoichiometry, eV per formula unit: 0.64



Compound: ZrTl3Bi
Source: Alexandria
Functional: GGA-PBE
Structure: optimized geometry

Cell and atoms, written as POSCAR:
```
ZrTl3Bi
1.0
5.861 0.000 0.000
0.000 5.861 0.000
0.000 0.000 5.861
Zr Tl Bi
1 3 1
direct
0.000 0.000 0.000 Zr
0.000 0.500 0.500 Tl
0.500 0.000 0.500 Tl
0.500 0.500 0.000 Tl
0.500 0.500 0.500 Bi
```

Energy relative to the elements, eV/atom: 1.0759
Crystal system: cubic
E, Ry/atom: -0.2080
DOS(E_F), states/eV per cell: 8.257
Energy above the lowest structure with this stoichiometry, eV per formula unit: 2.53



Compound: Zr2TlBi
Source: Alexandria
Functional: GGA-PBE
Structure: optimized geometry

Cell and atoms, written as POSCAR:
```
Zr2TlBi
1.0
2.107 1.216 6.829
-2.107 1.216 6.829
0.000 -2.433 6.829
Zr Tl Bi
2 1 1
direct
0.247 0.247 0.247 Zr
0.753 0.753 0.753 Zr
0.500 0.500 0.500 Tl
0.000 0.000 0.000 Bi
```

Energy relative to the elements, eV/atom: -0.0396
Crystal system: trigonal
E, Ry/atom: -0.4318
DOS(E_F), states/eV per cell: 1.442
Energy above the lowest structure with this stoichiometry, eV per formula unit: 0.19



Compound: ZrTlBi3
Source: Alexandria
Functional: GGA-PBE
Structure: optimized geometry

Cell and atoms, written as POSCAR:
```
ZrTlBi3
1.0
5.695 0.000 0.000
0.000 5.695 0.000
0.000 0.000 5.695
Zr Tl Bi
1 1 3
direct
0.000 0.000 0.000 Zr
0.500 0.500 0.500 Tl
0.000 0.500 0.500 Bi
0.500 0.000 0.500 Bi
0.500 0.500 0.000 Bi
```

Energy relative to the elements, eV/atom: 1.1034
Crystal system: cubic
E, Ry/atom: -0.2505
DOS(E_F), states/eV per cell: 6.672
Energy above the lowest structure with this stoichiometry, eV per formula unit: 4.81



Compound: Zr2TlBi2
Source: Alexandria
Functional: GGA-PBE
Structure: optimized geometry

Cell and atoms, written as POSCAR:
```
Zr2TlBi2
1.0
8.088 0.000 0.000
0.000 8.088 0.000
0.000 0.000 3.989
Zr Tl Bi
4 2 4
direct
0.144 0.356 0.000 Zr
0.356 0.856 0.000 Zr
0.644 0.144 0.000 Zr
0.856 0.644 0.000 Zr
0.000 0.000 0.000 Tl
0.500 0.500 0.000 Tl
0.152 0.652 0.500 Bi
0.348 0.152 0.500 Bi
0.652 0.848 0.500 Bi
0.848 0.348 0.500 Bi
```

Energy relative to the elements, eV/atom: -0.2086
Crystal system: tetragonal
E, Ry/atom: -0.4155
DOS(E_F), states/eV per cell: 5.897
Energy above the lowest structure with this stoichiometry, eV per formula unit: 0.00



Compound: ZrTlBi2
Source: Alexandria
Functional: GGA-PBE
Structure: optimized geometry

Cell and atoms, written as POSCAR:
```
ZrTlBi2
1.0
3.893 0.000 0.000
0.000 3.893 0.000
0.000 0.000 7.530
Zr Tl Bi
1 1 2
direct
0.000 0.000 0.000 Zr
0.000 0.000 0.500 Tl
0.500 0.500 0.213 Bi
0.500 0.500 0.787 Bi
```

Energy relative to the elements, eV/atom: -0.1289
Crystal system: tetragonal
E, Ry/atom: -0.3526
DOS(E_F), states/eV per cell: 3.948
Energy above the lowest structure with this stoichiometry, eV per formula unit: 0.00



Compound: Zr7Tl3Bi
Source: Alexandria
Functional: GGA-PBE
Structure: optimized geometry

Cell and atoms, written as POSCAR:
```
Zr7Tl3Bi
1.0
-2.745 4.662 5.365
2.745 -4.662 5.365
2.745 4.662 -5.365
Zr Tl Bi
7 3 1
direct
0.000 0.000 0.000 Zr
0.092 0.763 0.329 Zr
0.316 0.500 0.816 Zr
0.434 0.763 0.671 Zr
0.566 0.237 0.329 Zr
0.684 0.500 0.184 Zr
0.908 0.237 0.671 Zr
0.272 0.272 0.000 Tl
0.500 0.000 0.500 Tl
0.728 0.728 0.000 Tl
0.000 0.500 0.500 Bi
```

Energy relative to the elements, eV/atom: 0.1618
Crystal system: orthorhombic
E, Ry/atom: -0.4613
DOS(E_F), states/eV per cell: 13.004



Spin magnetization values (in Bohr magnetons per cell) by entry order: 0.86; 0.00; 2.43; 0.00; 0.00; 0.00; 0.00; 3.08.